Mn2CrAs3 | PBE | relaxed

Computed properties:
Crystal system: monoclinic
Calculated formation energy (eV/atom): -0.243
V (A^3/atom): 14.57

a = 3.432 Å, b = 5.575 Å, c = 18.277 Å
α = 89.91°, β = 90.00°, γ = 90.00°
Positions (direct):
Mn (0.500, 0.997, 0.603)
Mn (0.500, 0.998, 0.935)
Mn (0.000, 0.504, 0.101)
Mn (0.000, 0.502, 0.436)
Mn (0.000, 0.503, 0.769)
Mn (0.000, 0.004, 0.063)
Mn (0.000, 0.002, 0.400)
Mn (0.000, 0.003, 0.731)
Cr (0.500, 0.496, 0.232)
Cr (0.500, 0.496, 0.565)
Cr (0.500, 0.496, 0.897)
Cr (0.500, 0.996, 0.268)
As (0.500, 0.303, 0.026)
As (0.500, 0.299, 0.361)
As (0.500, 0.302, 0.694)
As (0.500, 0.801, 0.139)
As (0.500, 0.801, 0.474)
As (0.500, 0.802, 0.806)
As (0.000, 0.700, 0.308)
As (0.000, 0.700, 0.640)
As (0.000, 0.700, 0.972)
As (0.000, 0.201, 0.193)
As (0.000, 0.196, 0.527)
As (0.000, 0.196, 0.859)

Nd5Dy4Y4 | PBE | relaxed

Computed properties:
Crystal system: tetragonal
Calculated formation energy (eV/atom): 0.017
V (A^3/atom): 33.15

a = 5.090 Å, b = 9.547 Å, c = 9.547 Å
α = 85.92°, β = 74.54°, γ = 74.54°
Positions (direct):
Nd (0.693, 0.846, 0.767)
Nd (0.307, 0.154, 0.233)
Nd (0.000, 0.000, 0.000)
Nd (0.539, 0.767, 0.154)
Nd (0.461, 0.233, 0.846)
Dy (0.768, 0.387, 0.078)
Dy (0.232, 0.613, 0.922)
Dy (0.845, 0.922, 0.387)
Dy (0.155, 0.078, 0.613)
Y (0.923, 0.462, 0.692)
Y (0.615, 0.308, 0.462)
Y (0.077, 0.538, 0.308)
Y (0.385, 0.692, 0.538)

SrTc2Os | PBE | relaxed

Computed properties:
Crystal system: cubic
Calculated formation energy (eV/atom): 0.932
Polymorph energy (0 for the lowest one) (kJ/mol of atoms): 31.06
V (A^3/atom): 17.11

a = 4.592 Å, b = 4.592 Å, c = 4.592 Å
α = 60.00°, β = 60.00°, γ = 60.00°
Positions (direct):
Sr (0.000, 0.000, 0.000)
Os (0.500, 0.500, 0.500)
Tc (0.250, 0.250, 0.250)
Tc (0.750, 0.750, 0.750)

Ba2PrBe2O6 | PBE | relaxed

Computed properties:
Crystal system: trigonal
E_form (uncorrected) (eV per atom): -2.598
V (A^3/atom): 15.90

a = 5.750 Å, b = 5.750 Å, c = 6.950 Å
α = 65.56°, β = 65.56°, γ = 60.00°
Positions (direct):
Ba (0.790, 0.790, 0.631)
Ba (0.210, 0.210, 0.369)
Pr (0.000, 0.000, 0.000)
Be (0.422, 0.422, 0.734)
Be (0.578, 0.578, 0.266)
O (0.735, 0.735, 0.261)
O (0.269, 0.735, 0.261)
O (0.735, 0.269, 0.261)
O (0.265, 0.731, 0.739)
O (0.731, 0.265, 0.739)
O (0.265, 0.265, 0.739)

| no. | calculated density (g/cm3) | magnetic moment (μB per formula unit) |
| --- | --- | --- |
| 1 | 7.3 | 5.44 |
| 2 | 6.7 | 0.00 |
| 3 | 11.5 | 0.00 |
| 4 | 5.0 | 0.96 |